[1]
Compound: Co2HgRu
Source: Alexandria via LeMat-Bulk
Functional: PBE-GGA
Structure: optimized geometry

```
Co2HgRu
1.0
8.862 0.007 0.004
8.429 2.738 0.004
8.429 1.338 2.388
Co Hg Ru
2 1 1
Direct
0.493 0.493 0.493 Co
0.007 0.007 0.007 Co
0.250 0.250 0.250 Hg
0.750 0.750 0.750 Ru
```

Computed properties:
**Symmetry**: R-3m, No. 166
**ΔH_f (0 K)**: 453 meV per atom
**Density of states at the Fermi level**: 1.131 states/eV/atom


[2]
Compound: CaBe3
Source: Alexandria via LeMat-Bulk
Functional: PBE-GGA
Structure: optimized geometry

```
CaBe3
1.0
-3.748 2.682 -3.387
-4.314 -2.240 3.001
0.112 6.213 4.798
Be Ca
12 4
Direct
0.126 0.126 0.000 Be
0.374 0.626 0.500 Be
0.874 0.874 0.500 Be
0.126 0.126 0.500 Be
0.626 0.374 0.000 Be
0.500 0.500 0.250 Be
0.000 0.000 0.250 Be
0.874 0.874 0.000 Be
0.500 0.500 0.750 Be
0.000 0.000 0.750 Be
0.626 0.374 0.500 Be
0.374 0.626 0.000 Be
0.000 0.500 0.750 Ca
0.500 0.000 0.750 Ca
0.000 0.500 0.250 Ca
0.500 0.000 0.250 Ca
```

Computed properties:
**Symmetry**: P4/mbm, No. 127
**ΔH_f (0 K)**: 513 meV per atom
**Density of states at the Fermi level**: 0.272 states/eV/atom


[3]
Compound: NdDy3Hg
Source: Alexandria via LeMat-Bulk
Functional: PBE-GGA
Structure: optimized geometry

```
NdDy3Hg
1.0
3.601 0.000 -0.637
-0.051 5.533 -0.291
0.784 0.701 14.925
Dy Hg Nd
6 2 2
Direct
0.658 0.247 0.316 Dy
0.874 0.256 0.748 Dy
0.048 0.235 0.097 Dy
0.126 0.744 0.252 Dy
0.952 0.765 0.903 Dy
0.342 0.753 0.684 Dy
0.541 0.728 0.082 Hg
0.459 0.272 0.918 Hg
0.267 0.251 0.534 Nd
0.733 0.749 0.466 Nd
```

Computed properties:
**Symmetry**: C2/m, No. 12
**ΔH_f (0 K)**: -171 meV per atom
**Density of states at the Fermi level**: 1.363 states/eV/atom


[4]
Compound: Ta2OsBr
Source: Alexandria via LeMat-Bulk
Functional: PBE-GGA
Structure: optimized geometry

```
Ta2OsBr
1.0
3.132 0.000 0.000
0.000 4.878 0.000
0.000 0.000 4.533
Ta Os Br
2 1 1
Direct
0.000 0.000 0.000 Ta
0.500 0.500 0.000 Ta
0.000 0.500 0.500 Os
0.500 0.000 0.500 Br
```

Computed properties:
**Symmetry**: Pmmm, No. 47
**Formation energy from raw total energies**: 0.743 eV/atom
**Density of states at the Fermi level**: 1.108 states/eV/atom


[5]
Compound: K2AuCl
Source: Alexandria via LeMat-Bulk
Functional: PBE-GGA
Structure: optimized geometry

```
K2AuCl
1.0
-4.107 -0.804 -2.077
2.075 -2.640 -3.082
-2.819 -8.742 8.961
Au Cl K
2 2 4
Direct
0.250 0.463 0.926 Au
0.750 0.537 0.074 Au
0.750 0.810 0.620 Cl
0.250 0.190 0.380 Cl
0.750 0.932 0.865 K
0.750 0.685 0.371 K
0.250 0.315 0.629 K
0.250 0.068 0.135 K
```

Computed properties:
**Symmetry**: Cmcm, No. 63
**Formation energy from raw total energies**: -1.123 eV/atom


[6]
Compound: Ho4In5Cu2
Source: Alexandria via LeMat-Bulk
Functional: PBE-GGA
Structure: optimized geometry

```
Ho4In5Cu2
1.0
-3.562 -0.135 -0.737
1.554 -2.695 -7.017
-0.501 -8.582 3.989
Ho In Cu
4 5 2
Direct
0.500 0.812 0.147 Ho
0.500 0.221 0.435 Ho
0.500 0.188 0.853 Ho
0.500 0.779 0.565 Ho
0.000 0.546 0.329 In
0.000 0.454 0.671 In
0.000 0.840 0.854 In
0.000 0.160 0.146 In
0.000 0.500 0.000 In
0.000 0.069 0.629 Cu
0.000 0.931 0.371 Cu
```

Computed properties:
**Symmetry**: P2/m, No. 10
**ΔH_f (0 K)**: -386 meV per atom
**Density of states at the Fermi level**: 0.733 states/eV/atom


[7]
Compound: Li2DyNpCl8
Source: Alexandria via LeMat-Bulk
Functional: PBE-GGA
Structure: optimized geometry

```
Li2DyNpCl8
1.0
-2.931 -5.521 -1.342
5.591 -1.865 -2.267
2.031 -2.900 7.255
Cl Np Li Dy
8 1 2 1
Direct
0.312 0.297 0.002 Cl
0.681 0.697 0.494 Cl
0.188 0.798 0.758 Cl
0.688 0.703 0.998 Cl
0.184 0.794 0.242 Cl
0.812 0.202 0.242 Cl
0.319 0.303 0.506 Cl
0.816 0.206 0.758 Cl
0.000 0.000 0.500 Np
0.498 0.499 0.757 Li
0.502 0.501 0.243 Li
0.000 0.000 0.000 Dy
```

Computed properties:
**Symmetry**: P-1, No. 2
**Formation energy from raw total energies**: -1.900 eV/atom
**Density of states at the Fermi level**: 0.452 states/eV/atom


[8]
Compound: NbRhS2
Source: Alexandria via LeMat-Bulk
Functional: PBE-GGA
Structure: optimized geometry

```
NbRhS2
1.0
-3.221 -0.048 -1.025
-0.724 -0.385 -3.279
-1.468 -6.500 -0.656
Nb Rh S
1 1 2
Direct
0.506 0.506 0.482 Nb
0.655 0.655 0.034 Rh
0.087 0.087 0.738 S
0.252 0.252 0.245 S
```

Computed properties:
**Symmetry**: R3m, No. 160
**Formation energy from raw total energies**: -0.622 eV/atom
**Density of states at the Fermi level**: 0.269 states/eV/atom


[9]
Compound: K2AgF
Source: Alexandria via LeMat-Bulk
Functional: PBE-GGA
Structure: optimized geometry

```
K2AgF
1.0
4.120 0.000 0.000
2.060 3.568 0.000
2.060 1.189 7.794
F K Ag
1 2 1
Direct
0.000 0.000 0.000 F
0.730 0.730 0.809 K
0.270 0.270 0.191 K
0.500 0.500 0.500 Ag
```

Computed properties:
**Symmetry**: R-3m, No. 166
**Formation energy from raw total energies**: -1.221 eV/atom
**Density of states at the Fermi level**: 0.180 states/eV/atom


[10]
Compound: TaTiMoPd
Source: Alexandria via LeMat-Bulk
Functional: PBE-GGA
Structure: optimized geometry

```
TaTiMoPd
1.0
-3.863 1.751 0.450
-1.087 -1.876 -2.036
0.680 -4.719 3.985
Ta Ti Mo Pd
1 1 1 1
Direct
0.439 0.000 0.878 Ta
0.225 0.500 0.450 Ti
0.871 0.500 0.742 Mo
0.661 0.000 0.322 Pd
```

Computed properties:
**Symmetry**: Amm2, No. 38
**ΔH_f (0 K)**: 237 meV per atom
**Density of states at the Fermi level**: 0.819 states/eV/atom


[11]
Compound: Cd4AgPd7
Source: Alexandria via LeMat-Bulk
Functional: PBE-GGA
Structure: optimized geometry

```
Cd4AgPd7
1.0
-0.422 2.808 -4.107
-6.837 -3.580 -4.780
-3.502 4.506 0.406
Pd Cd Ag
7 4 1
Direct
0.964 0.378 0.694 Pd
0.500 0.000 0.000 Pd
0.036 0.622 0.306 Pd
0.654 0.466 0.227 Pd
0.793 0.918 0.496 Pd
0.207 0.082 0.504 Pd
0.346 0.534 0.773 Pd
0.404 0.772 0.419 Cd
0.730 0.688 0.852 Cd
0.596 0.228 0.581 Cd
0.270 0.312 0.148 Cd
0.000 0.000 0.000 Ag
```

Computed properties:
**Symmetry**: C2/m, No. 12
**ΔH_f (0 K)**: -71 meV per atom
**Density of states at the Fermi level**: 0.499 states/eV/atom


[12]
Compound: Pr2Sm2Dy
Source: Alexandria via LeMat-Bulk
Functional: PBE-GGA
Structure: optimized geometry

```
Pr2Sm2Dy
1.0
5.766 1.478 -1.795
3.920 4.473 -1.813
-0.550 -0.286 8.870
Pr Dy Sm
2 1 2
Direct
0.677 0.676 0.798 Pr
0.323 0.324 0.202 Pr
0.000 0.000 0.000 Dy
0.892 0.893 0.589 Sm
0.108 0.107 0.411 Sm
```

Computed properties:
**Symmetry**: C2/m, No. 12
**ΔH_f (0 K)**: 141 meV per atom
**Density of states at the Fermi level**: 1.520 states/eV/atom


[13]
Compound: OsPb2
Source: Alexandria via LeMat-Bulk
Functional: PBE-GGA
Structure: optimized geometry

```
OsPb2
1.0
4.788 0.000 0.000
0.000 4.788 0.000
0.000 0.000 3.301
Os Pb
1 2
Direct
0.000 0.000 0.000 Os
0.500 0.000 0.500 Pb
0.000 0.500 0.500 Pb
```

Computed properties:
**Symmetry**: P4/mmm, No. 123
**ΔH_f (0 K)**: 870 meV per atom
**Density of states at the Fermi level**: 0.934 states/eV/atom


[14]
Compound: MgBCl2
Source: Alexandria via LeMat-Bulk
Functional: PBE-GGA
Structure: optimized geometry

```
MgBCl2
1.0
9.007 0.000 0.000
0.000 9.007 0.000
4.503 4.503 2.484
Mg Cl B
2 4 2
Direct
0.750 0.250 0.500 Mg
0.000 0.000 0.000 Mg
0.965 0.625 0.250 Cl
0.875 0.035 0.750 Cl
0.375 0.215 0.750 Cl
0.785 0.125 0.250 Cl
0.250 0.750 0.500 B
0.500 0.500 0.000 B
```

Computed properties:
**Symmetry**: I-42d, No. 122
**Formation energy from raw total energies**: 0.082 eV/atom
**Density of states at the Fermi level**: 0.000 states/eV/atom


[15]
Compound: Li2ScSn
Source: Alexandria via LeMat-Bulk
Functional: PBE-GGA
Structure: optimized geometry

```
Li2ScSn
1.0
4.677 0.000 0.000
0.000 4.183 0.000
0.000 0.000 4.183
Sc Sn Li
1 1 2
Direct
0.500 0.000 0.000 Sc
0.500 0.500 0.500 Sn
0.000 0.000 0.500 Li
0.000 0.500 0.000 Li
```

Computed properties:
**Symmetry**: P4/mmm, No. 123
**ΔH_f (0 K)**: -344 meV per atom
**Density of states at the Fermi level**: 0.531 states/eV/atom


[16]
Compound: PrErBr6
Source: Alexandria via LeMat-Bulk
Functional: PBE-GGA
Structure: optimized geometry

```
PrErBr6
1.0
7.156 0.009 0.009
3.570 6.202 0.014
3.567 2.061 6.527
Br Pr Er
6 1 1
Direct
0.259 0.901 0.256 Br
0.741 0.099 0.744 Br
0.584 0.259 0.256 Br
0.901 0.584 0.256 Br
0.416 0.741 0.744 Br
0.099 0.416 0.744 Br
0.000 0.000 0.000 Pr
0.500 0.500 0.500 Er
```

Computed properties:
**Symmetry**: R-3, No. 148
**Formation energy from raw total energies**: -1.822 eV/atom
**Density of states at the Fermi level**: 0.000 states/eV/atom


[17]
Compound: Tm2Mg5Ag4
Source: Alexandria via LeMat-Bulk
Functional: PBE-GGA
Structure: optimized geometry

```
Tm2Mg5Ag4
1.0
5.839 0.000 0.000
2.920 6.235 0.000
2.920 0.000 7.157
Tm Ag Mg
2 4 5
Direct
0.158 0.000 0.685 Tm
0.842 0.000 0.315 Tm
0.465 0.771 0.298 Ag
0.764 0.771 0.702 Ag
0.535 0.229 0.702 Ag
0.236 0.229 0.298 Ag
0.000 0.500 0.000 Mg
0.500 0.000 0.000 Mg
0.500 0.500 0.000 Mg
0.750 0.500 0.500 Mg
0.250 0.500 0.500 Mg
```

Computed properties:
**Symmetry**: Fmmm, No. 69
**ΔH_f (0 K)**: -49 meV per atom
**Density of states at the Fermi level**: 0.524 states/eV/atom


[18]
Compound: Ta2Be2As
Source: Alexandria via LeMat-Bulk
Functional: PBE-GGA
Structure: optimized geometry

```
Ta2Be2As
1.0
-1.326 2.935 5.135
-0.622 -5.302 2.870
3.486 0.060 0.866
Be Ta As
4 4 2
Direct
0.383 0.883 0.000 Be
0.617 0.117 0.000 Be
0.883 0.617 0.000 Be
0.117 0.383 0.000 Be
0.321 0.179 0.500 Ta
0.821 0.321 0.500 Ta
0.179 0.679 0.500 Ta
0.679 0.821 0.500 Ta
0.000 0.000 0.000 As
0.500 0.500 0.000 As
```

Computed properties:
**Symmetry**: P4/mbm, No. 127
**ΔH_f (0 K)**: -84 meV per atom
**Density of states at the Fermi level**: 0.519 states/eV/atom


[19]
Compound: SnPdRh
Source: Alexandria via LeMat-Bulk
Functional: PBE-GGA
Structure: optimized geometry

```
SnPdRh
1.0
3.190 0.000 0.000
0.000 3.190 0.000
-1.595 -1.595 10.572
Pd Rh Sn
2 2 2
Direct
0.437 0.437 0.875 Pd
0.563 0.563 0.125 Pd
0.293 0.293 0.587 Rh
0.707 0.707 0.413 Rh
0.137 0.137 0.274 Sn
0.863 0.863 0.726 Sn
```

Computed properties:
**Symmetry**: I4/mmm, No. 139
**ΔH_f (0 K)**: -197 meV per atom
**Density of states at the Fermi level**: 0.596 states/eV/atom


[20]
Compound: AcY3
Source: Alexandria via LeMat-Bulk
Functional: PBE-GGA
Structure: optimized geometry

```
AcY3
1.0
5.853 0.000 0.000
2.926 5.069 0.000
2.926 1.690 4.779
Y Ac
3 1
Direct
0.750 0.750 0.750 Y
0.250 0.250 0.250 Y
0.000 0.000 0.000 Y
0.500 0.500 0.500 Ac
```

Computed properties:
**Symmetry**: Fm-3m, No. 225
**ΔH_f (0 K)**: 113 meV per atom
**Density of states at the Fermi level**: 1.657 states/eV/atom